## i
A relaxed PrLuNO crystal, computed with PBE.

## Properties
space group	P4/nmm

abc: 4.3835 4.3835 8.5405
angles: 90.00 90.00 90.00
Fractional coordinates of all 8 atoms:
N  0.7500  0.7500  0.4500
N  0.2500  0.2500  0.5500
Pr  0.7500  0.7500  0.8853
Pr  0.2500  0.2500  0.1147
O  0.7500  0.2500  0.0000
O  0.2500  0.7500  0.0000
Lu  0.2500  0.7500  0.5000
Lu  0.7500  0.2500  0.5000

## ii
A relaxed PrLuNO crystal, computed with PBE.

## Properties
space group	Pca2_1

abc: 6.7145 8.1507 4.9884
angles: 90.00 90.00 90.00
Fractional coordinates of all 16 atoms:
N  0.4156  0.1108  0.0528
N  0.0844  0.1108  0.5528
N  0.9156  0.8892  0.0528
N  0.5844  0.8892  0.5528
O  0.0812  0.6541  0.5500
O  0.9188  0.3459  0.0500
O  0.4188  0.6541  0.0500
O  0.5812  0.3459  0.5500
Lu  0.0871  0.1179  0.0494
Lu  0.9129  0.8821  0.5494
Lu  0.4129  0.1179  0.5494
Lu  0.5871  0.8821  0.0494
Pr  0.5668  0.3722  0.0502
Pr  0.9332  0.3722  0.5502
Pr  0.4332  0.6278  0.5502
Pr  0.0668  0.6278  0.0502

## iii
A relaxed PrLuNO crystal, computed with PBE.

## Properties
space group	P4/nmm

abc: 4.7179 4.7179 5.8753
angles: 90.00 90.00 90.00
Fractional coordinates of all 8 atoms:
N  0.2500  0.2500  0.6196
N  0.7500  0.7500  0.3804
O  0.2500  0.7500  0.0000
O  0.7500  0.2500  0.0000
Pr  0.2500  0.7500  0.5000
Pr  0.7500  0.2500  0.5000
Lu  0.7500  0.7500  0.0293
Lu  0.2500  0.2500  0.9707

i is the least stable structure shown above.